(1)
16
Lattice="7.5678 0.0000 0.0000 0.0000 7.5678 0.0000 0.0000 0.0000 7.5678" Properties=species:S:1:pos:R:3 comment="In2AgBr, relaxed, DFT GGA-PBE" m_tot_mub_per_cell=0.0 energy_ev_per_atom=-2.418 pbc="T T T"
In 0.0000 0.0000 0.0000
In 0.0000 3.7839 3.7839
In 1.8919 1.8919 1.8919
In 1.8919 5.6758 5.6758
In 3.7839 0.0000 3.7839
In 3.7839 3.7839 0.0000
In 5.6758 1.8919 5.6758
In 5.6758 5.6758 1.8919
Ag 0.0000 0.0000 3.7839
Ag 0.0000 3.7839 0.0000
Ag 3.7839 0.0000 0.0000
Ag 3.7839 3.7839 3.7839
Br 1.8919 1.8919 5.6758
Br 1.8919 5.6758 1.8919
Br 5.6758 1.8919 1.8919
Br 5.6758 5.6758 5.6758

(2)
16
Lattice="12.6775 0.0000 0.0000 0.0000 8.5634 0.0000 -3.5938 0.0000 5.7474" Properties=species:S:1:pos:R:3 comment="InAg2Br5, relaxed, DFT GGA-PBE" m_tot_mub_per_cell=0.0 energy_ev_per_atom=-2.645 pbc="T T T"
In 0.0000 0.0000 0.0000
In 6.3388 4.2817 0.0000
Ag 2.0710 2.7302 1.7164
Ag 2.0710 5.8332 1.7164
Ag 8.4097 1.5515 1.7164
Ag 8.4097 7.0119 1.7164
Br -2.7422 2.3488 5.0606
Br -2.7422 6.2146 5.0606
Br 1.7924 0.0000 2.0814
Br 0.9123 4.2817 3.6678
Br 4.3932 4.2817 1.7918
Br 3.5965 1.9329 5.0606
Br 3.5965 6.6305 5.0606
Br 8.1312 4.2817 2.0814
Br 7.2511 0.0000 3.6678
Br 10.7320 0.0000 1.7918

What is the formula in the second record? InAg2Br5

What is the formula in the first record? In2AgBr